## one
K2NiAu: relaxed, PBE.

abc: 5.251 5.251 7.416
angles: 90.00 90.00 90.00
Space group I-4m2 (No. 119)
One atom of each set of equivalent atoms:
K  0.000  0.000  0.000
K  0.000  0.500  0.250
Ni  0.000  0.500  0.750
Au  0.000  0.000  0.500


## two
K2NiAu: relaxed, PBE.

abc: 4.638 5.667 9.335
angles: 90.00 90.00 90.00
Space group Imm2 (No. 44)
One atom of each set of equivalent atoms:
K  0.000  0.000  0.000
K  0.000  0.500  0.192
Ni  0.000  0.500  0.815
Au  0.000  0.000  0.392


## three
K2NiAu: relaxed, PBE.

abc: 10.937 10.937 4.881
angles: 90.00 90.00 90.00
Space group I-42d (No. 122)
One atom of each set of equivalent atoms:
K  0.096  0.250  0.125
Ni  0.000  0.000  0.000
Au  0.000  0.000  0.500


Which one sits at the bottom of the stability order? one does.